Material: SrLiCdIn2
Method: DFT, PBE-GGA
State: optimized geometry

Properties
polymorph energy (0 for the lowest one)	0.00	eV/f.u.
magnetization	0.00	μB/f.u.

```
SrLiCdIn2
1.0
-2.345 2.345 6.248
2.345 -2.345 6.248
2.345 2.345 -6.248
Sr Li Cd In
1 1 1 2
direct
0.000 0.000 0.000
0.750 0.250 0.500
0.250 0.750 0.500
0.385 0.385 0.000
0.615 0.615 0.000
```